No. 1
10
Lattice="4.1911 0.0000 0.0000 0.0000 4.1911 0.0000 0.0000 0.0000 11.1242" Properties=species:S:1:pos:R:3 comment="GGA-PBE Ce2As3Pd4Au, relaxed" density_g_cm3=9.58 total_magnetization_mub_per_atom=0.11 sg="No. 115" pbc="T T T"
Ce 0.0000 2.0956 2.6892
Ce 2.0956 0.0000 8.4350
As 0.0000 2.0956 9.6714
As 2.0956 0.0000 1.4528
As 2.0956 2.0956 5.5621
Pd 0.0000 0.0000 0.0000
Pd 0.0000 2.0956 7.2695
Pd 2.0956 0.0000 3.8547
Pd 2.0956 2.0956 0.0000
Au 0.0000 0.0000 5.5621



No. 2
4
Lattice="0.0000 3.4379 3.4379 3.4379 0.0000 3.4379 3.4379 3.4379 0.0000" Properties=species:S:1:pos:R:3 comment="GGA-PBE CeAsPdAu, relaxed" density_g_cm3=10.59 total_magnetization_mub_per_atom=0.06 sg="No. 216" pbc="T T T"
Ce 0.0000 0.0000 0.0000
As 5.1568 5.1568 5.1568
Pd 3.4379 3.4379 3.4379
Au 1.7189 1.7189 1.7189



No. 3
10
Lattice="4.5041 0.0000 0.0000 0.0000 4.5041 0.0000 0.0000 0.0000 9.8900" Properties=species:S:1:pos:R:3 comment="GGA-PBE Ce2As4Pd3Au, relaxed" density_g_cm3=9.07 total_magnetization_mub_per_atom=0.19 sg="No. 115" pbc="T T T"
Ce 0.0000 2.2521 2.4018
Ce 2.2521 0.0000 7.4882
As 0.0000 0.0000 0.0000
As 0.0000 2.2521 6.3068
As 2.2521 0.0000 3.5832
As 2.2521 2.2521 0.0000
Pd 0.0000 2.2521 8.7488
Pd 2.2521 0.0000 1.1412
Pd 2.2521 2.2521 4.9450
Au 0.0000 0.0000 4.9450



No. 4
10
Lattice="4.5577 0.0000 0.0000 0.0000 4.5577 0.0000 0.0000 0.0000 9.7476" Properties=species:S:1:pos:R:3 comment="GGA-PBE Ce2As4Pt3Au, relaxed" density_g_cm3=11.17 total_magnetization_mub_per_atom=0.19 sg="No. 115" pbc="T T T"
Ce 0.0000 2.2789 2.4092
Ce 2.2789 0.0000 7.3384
As 0.0000 0.0000 0.0000
As 0.0000 2.2789 6.1788
As 2.2789 0.0000 3.5688
As 2.2789 2.2789 0.0000
Pt 0.0000 2.2789 8.6355
Pt 2.2789 0.0000 1.1121
Pt 2.2789 2.2789 4.8738
Au 0.0000 0.0000 4.8738



No. 5
10
Lattice="4.0327 0.0000 0.0000 0.0000 4.0327 0.0000 0.0000 0.0000 11.3855" Properties=species:S:1:pos:R:3 comment="GGA-PBE Ce2As3Rh4Au, relaxed" density_g_cm3=9.99 total_magnetization_mub_per_atom=0.00 sg="No. 115" pbc="T T T"
Ce 0.0000 2.0164 2.7851
Ce 2.0164 0.0000 8.6004
As 0.0000 0.0000 0.0000
As 0.0000 2.0164 7.1212
As 2.0164 0.0000 4.2643
Rh 0.0000 0.0000 5.6928
Rh 0.0000 2.0164 9.4909
Rh 2.0164 0.0000 1.8946
Rh 2.0164 2.0164 5.6928
Au 2.0164 2.0164 0.0000



No. 6
9
Lattice="4.0017 0.0000 0.0000 0.0000 4.0017 0.0000 0.0000 0.0000 11.0475" Properties=species:S:1:pos:R:3 comment="GGA-PBE CeAs2Rh5Au, relaxed" density_g_cm3=9.40 total_magnetization_mub_per_atom=0.08 sg="No. 123" pbc="T T T"
Ce 0.0000 0.0000 0.0000
As 2.0008 2.0008 2.3961
As 2.0008 2.0008 8.6514
Rh 0.0000 2.0008 3.6897
Rh 0.0000 2.0008 7.3578
Rh 2.0008 0.0000 3.6897
Rh 2.0008 0.0000 7.3578
Rh 2.0008 2.0008 0.0000
Au 0.0000 0.0000 5.5238



Taking the records one at a time from the top gives final energy values of -5.74, -5.44, -5.69, -5.96, -6.67, -6.40 eV per atom.
Taking the records one at a time from the top gives V values of 195.4, 81.3, 200.6, 202.5, 185.2, 176.9 Å³/f.u..